# Ca2HfTaAg

A relaxed Ca2HfTaAg crystal (PBE, the Alexandria database).

a = 5.673 Å, b = 5.673 Å, c = 5.050 Å
α = 90.00°, β = 90.00°, γ = 90.00°
Fractional coordinates of all 5 atoms:
Ca: 0.000 0.500 0.000
Ca: 0.500 0.000 0.000
Hf: 0.000 0.000 0.500
Ta: 0.000 0.000 0.000
Ag: 0.500 0.500 0.500

Results
Calculated total energy: -23.5 eV for the cell shown
E_form: 1.03 eV per atom